The following is a PBE-GGA calculation of a relaxed MnNbPd2Br crystal, from the Alexandria database.

Summary:
Space group: P4/mmm (123)
D(E_F) (states/eV/atom): 2.029
Formation energy (no corrections) (eV/atom): 1.118
Volume (Å³/f.u.): 95

Lattice parameters (Å, degrees): 4.6279 4.6279 4.4241 90.00 90.00 90.00
Fractional coordinates of all 5 atoms:
1 Mn 0.0000 0.0000 0.0000
2 Nb 0.5000 0.5000 0.5000
3 Pd 0.0000 0.5000 0.0000
4 Pd 0.5000 0.0000 0.0000
5 Br 0.0000 0.0000 0.5000

***

The following is a PBE-GGA calculation of a relaxed Rb2MnNbBr6 crystal, from the Alexandria database.

Summary:
Space group: Fm-3m (225)
D(E_F) (states/eV/atom): 0.698
Formation energy (no corrections) (eV/atom): -1.022
Volume (Å³/f.u.): 319

Lattice parameters (Å, degrees): 7.6661 7.6661 7.6661 60.00 60.00 60.00
Fractional coordinates of all 10 atoms:
1 Rb 0.2500 0.2500 0.2500
2 Rb 0.7500 0.7500 0.7500
3 Mn 0.0000 0.0000 0.0000
4 Nb 0.5000 0.5000 0.5000
5 Br 0.2474 0.2474 0.7526
6 Br 0.2474 0.7526 0.2474
7 Br 0.2474 0.7526 0.7526
8 Br 0.7526 0.2474 0.2474
9 Br 0.7526 0.2474 0.7526
10 Br 0.7526 0.7526 0.2474

***

The following is a PBE-GGA calculation of a relaxed MnNb2SbBr crystal, from the Alexandria database.

Summary:
Space group: P4/mmm (123)
D(E_F) (states/eV/atom): 1.638
Formation energy (no corrections) (eV/atom): 2.223
Volume (Å³/f.u.): 145

Lattice parameters (Å, degrees): 5.1875 5.1875 5.3993 90.00 90.00 90.00
Fractional coordinates of all 5 atoms:
1 Mn 0.0000 0.0000 0.0000
2 Nb 0.0000 0.5000 0.5000
3 Nb 0.5000 0.0000 0.5000
4 Sb 0.5000 0.5000 0.5000
5 Br 0.5000 0.5000 0.0000

***

The following is a PBE-GGA calculation of a relaxed MnNbSe2Br crystal, from the Alexandria database.

Summary:
Space group: P4/mmm (123)
E above lowest polymorph (eV per atom): 0.440
D(E_F) (states/eV/atom): 1.239
Formation energy (no corrections) (eV/atom): 0.542
Volume (Å³/f.u.): 113

Lattice parameters (Å, degrees): 4.8577 4.8577 4.7837 90.00 90.00 90.00
Fractional coordinates of all 5 atoms:
1 Mn 0.0000 0.0000 0.0000
2 Nb 0.5000 0.5000 0.5000
3 Se 0.0000 0.5000 0.0000
4 Se 0.5000 0.0000 0.0000
5 Br 0.0000 0.0000 0.5000

***

The following is a PBE-GGA calculation of a relaxed MnNbSe2Br crystal, from the Alexandria database.

Summary:
Space group: P4/mmm (123)
E above lowest polymorph (eV per atom): 0.000
D(E_F) (states/eV/atom): 0.739
Formation energy (no corrections) (eV/atom): 0.101
Volume (Å³/f.u.): 134

Lattice parameters (Å, degrees): 5.0777 5.0777 5.2016 90.00 90.00 90.00
Fractional coordinates of all 5 atoms:
1 Mn 0.0000 0.0000 0.0000
2 Nb 0.5000 0.5000 0.5000
3 Se 0.0000 0.5000 0.5000
4 Se 0.5000 0.0000 0.5000
5 Br 0.5000 0.5000 0.0000

***

The following is a PBE-GGA calculation of a relaxed MnNb2SeBr crystal, from the Alexandria database.

Summary:
Space group: P4/mmm (123)
D(E_F) (states/eV/atom): 0.859
Formation energy (no corrections) (eV/atom): 0.808
Volume (Å³/f.u.): 109

Lattice parameters (Å, degrees): 4.9135 4.9135 4.4984 90.00 90.00 90.00
Fractional coordinates of all 5 atoms:
1 Mn 0.0000 0.0000 0.0000
2 Nb 0.0000 0.5000 0.5000
3 Nb 0.5000 0.0000 0.5000
4 Se 0.0000 0.0000 0.5000
5 Br 0.5000 0.5000 0.0000

***

The following is a PBE-GGA calculation of a relaxed MnNbSnBr2 crystal, from the Alexandria database.

Summary:
Space group: P4/mmm (123)
D(E_F) (states/eV/atom): 2.212
Formation energy (no corrections) (eV/atom): 1.038
Volume (Å³/f.u.): 179

Lattice parameters (Å, degrees): 5.5830 5.5830 5.7564 90.00 90.00 90.00
Fractional coordinates of all 5 atoms:
1 Mn 0.0000 0.0000 0.0000
2 Nb 0.5000 0.5000 0.0000
3 Sn 0.5000 0.5000 0.5000
4 Br 0.0000 0.5000 0.5000
5 Br 0.5000 0.0000 0.5000

***

The following is a PBE-GGA calculation of a relaxed MnNb2TlBr crystal, from the Alexandria database.

Summary:
Space group: P4/mmm (123)
D(E_F) (states/eV/atom): 0.996
Formation energy (no corrections) (eV/atom): 1.397
Volume (Å³/f.u.): 129

Lattice parameters (Å, degrees): 4.7593 4.7593 5.6820 90.00 90.00 90.00
Fractional coordinates of all 5 atoms:
1 Mn 0.0000 0.0000 0.0000
2 Nb 0.0000 0.5000 0.5000
3 Nb 0.5000 0.0000 0.5000
4 Tl 0.5000 0.5000 0.0000
5 Br 0.5000 0.5000 0.5000

***

The following is a PBE-GGA calculation of a relaxed NdMnTlBr6 crystal, from the Alexandria database.

Summary:
Space group: P-31c (163)
D(E_F) (states/eV/atom): 0.000
Formation energy (no corrections) (eV/atom): -1.288
Volume (Å³/f.u.): 335

Lattice parameters (Å, degrees): 7.2891 7.2891 14.5521 90.00 90.00 120.00
Fractional coordinates of all 18 atoms:
1 Nd 0.3333 0.6667 0.2500
2 Nd 0.6667 0.3333 0.7500
3 Mn 0.3333 0.6667 0.7500
4 Mn 0.6667 0.3333 0.2500
5 Tl 0.0000 0.0000 0.0000
6 Tl 0.0000 0.0000 0.5000
7 Br 0.0208 0.3808 0.6396
8 Br 0.0208 0.6400 0.8604
9 Br 0.3600 0.3808 0.8604
10 Br 0.3600 0.9792 0.6396
11 Br 0.3808 0.0208 0.1396
12 Br 0.3808 0.3600 0.3604
13 Br 0.6192 0.6400 0.6396
14 Br 0.6192 0.9792 0.8604
15 Br 0.6400 0.0208 0.3604
16 Br 0.6400 0.6192 0.1396
17 Br 0.9792 0.3600 0.1396
18 Br 0.9792 0.6192 0.3604

***

The following is a PBE-GGA calculation of a relaxed Mn2NiBr crystal, from the Alexandria database.

Summary:
Space group: Pmmm (47)
E above lowest polymorph (eV per atom): 0.000
D(E_F) (states/eV/atom): 0.551
Formation energy (no corrections) (eV/atom): 0.177
Volume (Å³/f.u.): 70

Lattice parameters (Å, degrees): 3.0868 3.1847 7.1017 90.00 90.00 90.00
Fractional coordinates of all 4 atoms:
1 Mn 0.0000 0.0000 0.1932
2 Mn 0.0000 0.0000 0.8068
3 Ni 0.5000 0.5000 0.0000
4 Br 0.5000 0.0000 0.5000

***

The following is a PBE-GGA calculation of a relaxed Mn2NiBr crystal, from the Alexandria database.

Summary:
Space group: P4mm (99)
E above lowest polymorph (eV per atom): 0.159
D(E_F) (states/eV/atom): 0.763
Formation energy (no corrections) (eV/atom): 0.336
Volume (Å³/f.u.): 72

Lattice parameters (Å, degrees): 3.3446 3.3446 6.4053 90.00 90.00 90.00
Fractional coordinates of all 4 atoms:
1 Mn 0.0000 0.0000 0.0000
2 Mn 0.5000 0.5000 0.2535
3 Ni 0.0000 0.0000 0.3714
4 Br 0.5000 0.5000 0.7715

***

The following is a PBE-GGA calculation of a relaxed MnNiBr3 crystal, from the Alexandria database.

Summary:
Space group: Pm-3m (221)
E above lowest polymorph (eV per atom): 0.110
D(E_F) (states/eV/atom): 3.598
Formation energy (no corrections) (eV/atom): 0.215
Volume (Å³/f.u.): 141

Lattice parameters (Å, degrees): 5.1990 5.1990 5.1990 90.00 90.00 90.00
Fractional coordinates of all 5 atoms:
1 Mn 0.0000 0.0000 0.0000
2 Ni 0.5000 0.5000 0.5000
3 Br 0.0000 0.0000 0.5000
4 Br 0.0000 0.5000 0.0000
5 Br 0.5000 0.0000 0.0000

***

What is the D(E_F) in the fourth record? 1.239 states/eV/atom

***

The lowest D(E_F) belongs to which entry? NdMnTlBr6

***

What is the D(E_F) in the third record? 1.638 states/eV/atom

***

What is the formula in the eleventh record? Mn2NiBr